Entry 1:
HfAlGa2 | the Alexandria database | PBE | optimized geometry; final energy = -21.199 eV for the cell shown; energy of formation from the pure elements = -0.362 eV/atom
1.0
4.0446 0.0000 0.0000
0.0000 4.1187 0.0000
0.0000 0.0000 4.1187
Hf Al Ga
1 1 2
Direct
0.5000 0.0000 0.0000 Hf
0.5000 0.5000 0.5000 Al
0.0000 0.0000 0.5000 Ga
0.0000 0.5000 0.0000 Ga

***

Entry 2:
Ca2LaPb | the Alexandria database | PBE | optimized geometry; final energy = -13.545 eV for the cell shown; energy of formation from the pure elements = -0.226 eV/atom
1.0
3.7835 0.0000 0.0000
0.0000 5.0378 0.0000
0.0000 0.0000 7.1126
Pb Ca La
1 2 1
Direct
0.5000 0.5000 0.7500 Pb
0.0000 0.0000 0.9840 Ca
0.0000 0.0000 0.5160 Ca
0.5000 0.5000 0.2500 La

***

Entry 3:
NdDy3Tl3 | the Alexandria database | PBE | optimized geometry; final energy = -109.856 eV for the cell shown; energy above the most stable polymorph in this dataset = 0.000 eV/atom; energy of formation from the pure elements = -0.256 eV/atom
1.0
9.4074 0.0000 0.0000
0.0000 9.4074 0.0000
0.0000 0.0000 9.4074
Nd Dy Tl
4 12 12
Direct
0.0710 0.5710 0.9290 Nd
0.9290 0.0710 0.5710 Nd
0.4290 0.4290 0.4290 Nd
0.5710 0.9290 0.0710 Nd
0.8220 0.3220 0.1780 Dy
0.9199 0.9199 0.9199 Dy
0.8204 0.6796 0.3204 Dy
0.1780 0.8220 0.3220 Dy
0.1796 0.1796 0.1796 Dy
0.3204 0.8204 0.6796 Dy
0.0801 0.4199 0.5801 Dy
0.3220 0.1780 0.8220 Dy
0.6796 0.3204 0.8204 Dy
0.6780 0.6780 0.6780 Dy
0.5801 0.0801 0.4199 Dy
0.4199 0.5801 0.0801 Dy
0.7421 0.6169 0.0003 Tl
0.8831 0.9997 0.2421 Tl
0.0003 0.7421 0.6169 Tl
0.1169 0.4997 0.2579 Tl
0.2579 0.1169 0.4997 Tl
0.2421 0.8831 0.9997 Tl
0.9997 0.2421 0.8831 Tl
0.3831 0.5003 0.7579 Tl
0.4997 0.2579 0.1169 Tl
0.6169 0.0003 0.7421 Tl
0.7579 0.3831 0.5003 Tl
0.5003 0.7579 0.3831 Tl

***

Entry 4:
La2OsN | the Alexandria database | PBE | optimized geometry; final energy = -59.830 eV for the cell shown; energy relative to the elements, uncorrected = -0.13 eV per atom
1.0
6.8369 0.0000 0.0000
0.0000 6.8369 0.0000
3.4185 3.4185 4.0732
N Os La
2 2 4
Direct
0.5000 0.5000 0.0000 N
0.2500 0.7500 0.5000 N
0.0000 0.0000 0.0000 Os
0.7500 0.2500 0.5000 Os
0.5715 0.1250 0.2500 La
0.1785 0.6250 0.2500 La
0.3750 0.4285 0.7500 La
0.8750 0.8215 0.7500 La

***

Entry 5:
LiMnTe3 | the Alexandria database | PBE | optimized geometry; final energy = -19.329 eV for the cell shown; energy above the most stable polymorph in this dataset = 0.000 eV/atom; energy relative to the elements, uncorrected = 0.24 eV per atom
1.0
-3.6556 3.5813 0.0489
-0.0999 -0.1719 5.1139
3.5802 3.6518 0.1927
Te Mn Li
3 1 1
Direct
0.0000 0.5000 0.0000 Te
0.0000 0.0000 0.5000 Te
0.5000 0.0000 0.0000 Te
0.0000 0.0000 0.0000 Mn
0.5000 0.5000 0.5000 Li

***

Entry 6:
FeCo2Se | the Alexandria database | PBE | optimized geometry; final energy = -25.422 eV for the cell shown; energy relative to the elements, uncorrected = 0.18 eV per atom
1.0
-1.7079 1.1541 3.4168
-3.5520 -1.1941 -1.3714
0.4973 -2.8834 1.2225
Co Fe Se
2 1 1
Direct
0.0000 0.0000 0.0000 Co
0.5000 0.5000 0.0000 Co
0.5000 0.0000 0.5000 Fe
0.0000 0.5000 0.5000 Se

***

Entry 7:
K2Zn2S3 | the Alexandria database | PBE | optimized geometry; final energy = -23.855 eV for the cell shown; energy above the most stable polymorph in this dataset = 0.016 eV/atom; energy relative to the elements, uncorrected = -0.96 eV per atom
1.0
-0.9667 3.8504 -0.2470
-7.5184 -1.9544 -1.0402
3.6483 -0.7428 6.1694
K Zn S
2 2 3
Direct
0.4334 0.2112 0.8668 K
0.5666 0.7888 0.1332 K
0.1919 0.3126 0.3838 Zn
0.8081 0.6874 0.6162 Zn
0.0000 0.0000 0.0000 S
0.1925 0.6269 0.3850 S
0.8075 0.3731 0.6150 S

***

Entry 8:
Nd3Sm2ThAs6 | the Alexandria database | PBE | optimized geometry; final energy = -77.300 eV for the cell shown; energy of formation from the pure elements = -1.520 eV/atom
1.0
-4.1834 -0.7453 -0.1847
-0.2607 -0.6372 8.4770
0.5537 9.3785 -1.4126
Nd Sm Th As
3 2 1 6
Direct
0.5000 0.5000 0.0000 Nd
0.8323 0.1686 0.6646 Nd
0.1677 0.8314 0.3354 Nd
0.8322 0.6642 0.6644 Sm
0.1678 0.3358 0.3356 Sm
0.5000 0.0000 0.0000 Th
0.3347 0.9154 0.6693 As
0.6672 0.5813 0.3345 As
0.6653 0.0846 0.3307 As
0.0008 0.2476 0.0016 As
0.9992 0.7524 0.9984 As
0.3328 0.4187 0.6655 As

***

Entry 9:
Rb2Tl5 | the Alexandria database | PBE | optimized geometry; final energy = -28.156 eV for the cell shown; energy of formation from the pure elements = -0.045 eV/atom
1.0
9.6829 0.0000 0.0000
-4.8414 7.7280 -0.8252
0.0000 -0.5838 7.2418
Rb Tl
4 10
Direct
0.4295 0.2029 0.4814 Rb
0.2266 0.7971 0.0186 Rb
0.5705 0.7971 0.5186 Rb
0.7734 0.2029 0.9814 Rb
0.5803 0.7103 0.0026 Tl
0.8700 0.2897 0.4974 Tl
0.4197 0.2897 0.9974 Tl
0.1300 0.7103 0.5026 Tl
0.2134 0.4117 0.7323 Tl
0.8016 0.5883 0.7677 Tl
0.7866 0.5883 0.2677 Tl
0.1984 0.4117 0.2323 Tl
0.0241 0.0000 0.7500 Tl
0.9759 0.0000 0.2500 Tl

***

Entry 10:
NbCu4Sn | the Alexandria database | PBE | optimized geometry; final energy = -29.628 eV for the cell shown; energy of formation from the pure elements = 0.138 eV/atom
1.0
-1.3516 1.9850 4.3679
-3.6687 -2.0824 2.6553
1.0440 -2.3846 4.2509
Nb Sn Cu
1 1 4
Direct
0.2500 0.2500 0.2500 Nb
0.0000 0.0000 0.0000 Sn
0.6243 0.6243 0.1272 Cu
0.6243 0.1272 0.6243 Cu
0.6243 0.6243 0.6243 Cu
0.1272 0.6243 0.6243 Cu

***

Entry 11:
NdHoTmZn | the Alexandria database | PBE | optimized geometry; final energy = -15.754 eV for the cell shown; energy above the most stable polymorph in this dataset = 0.000 eV/atom; energy of formation from the pure elements = -0.166 eV/atom
1.0
-2.6573 2.3579 -0.2103
-0.5448 -0.3015 3.5039
5.6419 6.4862 1.4352
Nd Ho Tm Zn
1 1 1 1
Direct
0.0000 0.0000 0.0731 Nd
0.5000 0.5000 0.7726 Ho
0.5000 0.5000 0.3708 Tm
0.0000 0.0000 0.5682 Zn

***

Entry 12:
CdHg9Pb2 | the Alexandria database | PBE | optimized geometry; final energy = -10.639 eV for the cell shown; energy of formation from the pure elements = 0.034 eV/atom
1.0
5.5933 0.0000 0.0000
0.0000 5.5933 0.0000
0.0000 0.0000 10.3953
Cd Hg Pb
1 9 2
Direct
0.0000 0.0000 0.0000 Cd
0.5000 0.5000 0.0000 Hg
0.5000 0.5000 0.3325 Hg
0.5000 0.5000 0.6675 Hg
0.5000 0.0000 0.1584 Hg
0.5000 0.0000 0.5000 Hg
0.5000 0.0000 0.8416 Hg
0.0000 0.5000 0.1584 Hg
0.0000 0.5000 0.5000 Hg
0.0000 0.5000 0.8416 Hg
0.0000 0.0000 0.3174 Pb
0.0000 0.0000 0.6826 Pb

***

| no. | calculated volume (Å³/atom) |
| --- | --- |
| 1 | 17.2 |
| 2 | 33.9 |
| 3 | 29.7 |
| 4 | 23.8 |
| 5 | 26.8 |
| 6 | 12.6 |
| 7 | 24.7 |
| 8 | 27.2 |
| 9 | 38.4 |
| 10 | 14.6 |
| 11 | 27.6 |
| 12 | 27.1 |